No. 1
{
  "formula": "TmPa2S5",
  "functional": "PBE-GGA",
  "state": "optimized geometry",
  "lattice": [[11.8161, 0.0000, 0.0000], [0.0000, 7.7682, 0.0000], [0.0000, 0.0000, 7.3258]],
  "species": ["Tm", "Tm", "Tm", "Tm", "Pa", "Pa", "Pa", "Pa", "Pa", "Pa", "Pa", "Pa", "S", "S", "S", "S", "S", "S", "S", "S", "S", "S", "S", "S", "S", "S", "S", "S", "S", "S", "S", "S"],
  "fractional_positions": [[0.0036, 0.2500, 0.0754], [0.4964, 0.7500, 0.5754], [0.5036, 0.2500, 0.4246], [0.9964, 0.7500, 0.9246], [0.1796, 0.0003, 0.5159], [0.1796, 0.4997, 0.5159], [0.3204, 0.9997, 0.0159], [0.3204, 0.5003, 0.0159], [0.6796, 0.0003, 0.9841], [0.6796, 0.4997, 0.9841], [0.8204, 0.9997, 0.4841], [0.8204, 0.5003, 0.4841], [0.0011, 0.2500, 0.4652], [0.1029, 0.5395, 0.1621], [0.1029, 0.9605, 0.1621], [0.1849, 0.2500, 0.8236], [0.2124, 0.7500, 0.7983], [0.2876, 0.2500, 0.2983], [0.3151, 0.7500, 0.3236], [0.3971, 0.0395, 0.6621], [0.3971, 0.4605, 0.6621], [0.4989, 0.7500, 0.9652], [0.5011, 0.2500, 0.0348], [0.6029, 0.5395, 0.3379], [0.6029, 0.9605, 0.3379], [0.6849, 0.2500, 0.6764], [0.7124, 0.7500, 0.7017], [0.7876, 0.2500, 0.2017], [0.8151, 0.7500, 0.1764], [0.8971, 0.0395, 0.8379], [0.8971, 0.4605, 0.8379], [0.9989, 0.7500, 0.5347]],
  "energy_ev_per_atom": -7.2700,
  "sg": "No. 62",
  "formation_energy_uncorrected_ev_per_atom": -1.757
}

=====

No. 2
{
  "formula": "TmPa2S6",
  "functional": "PBE-GGA",
  "state": "optimized geometry",
  "lattice": [[6.2633, 0.0000, 0.0000], [0.0000, 6.8433, 0.0000], [0.0000, 0.0000, 11.4539]],
  "species": ["Tm", "Tm", "Pa", "Pa", "Pa", "Pa", "S", "S", "S", "S", "S", "S", "S", "S", "S", "S", "S", "S"],
  "fractional_positions": [[0.0000, 0.0000, 0.0000], [0.5000, 0.5000, 0.5000], [0.0000, 0.5000, 0.1794], [0.0000, 0.5000, 0.8206], [0.5000, 0.0000, 0.3206], [0.5000, 0.0000, 0.6794], [0.2137, 0.3396, 0.0000], [0.2416, 0.8231, 0.1652], [0.2416, 0.8231, 0.8348], [0.2584, 0.3231, 0.3348], [0.2584, 0.3231, 0.6652], [0.2863, 0.8396, 0.5000], [0.7137, 0.1604, 0.5000], [0.7416, 0.6769, 0.3348], [0.7416, 0.6769, 0.6652], [0.7584, 0.1769, 0.1652], [0.7584, 0.1769, 0.8348], [0.7863, 0.6604, 0.0000]],
  "e_above_lowest_polymorph_mev_per_atom": 0,
  "energy_ev_per_atom": -7.0200,
  "sg": "No. 58",
  "formation_energy_uncorrected_ev_per_atom": -1.661
}

=====

No. 3
{
  "formula": "TmPa3S4",
  "functional": "PBE-GGA",
  "state": "optimized geometry",
  "lattice": [[6.9005, 0.0000, 0.0000], [0.0000, 7.7313, 0.0000], [-2.1562, 0.0000, 6.1929]],
  "species": ["Tm", "Tm", "Pa", "Pa", "Pa", "Pa", "Pa", "Pa", "S", "S", "S", "S", "S", "S", "S", "S"],
  "fractional_positions": [[0.0000, 0.1250, 0.2500], [0.0000, 0.8750, 0.7500], [0.0000, 0.3781, 0.7500], [0.0000, 0.6219, 0.2500], [0.5000, 0.1256, 0.7500], [0.5000, 0.3770, 0.2500], [0.5000, 0.6230, 0.7500], [0.5000, 0.8744, 0.2500], [0.2425, 0.1225, 0.9989], [0.2425, 0.8775, 0.4989], [0.2458, 0.3703, 0.4968], [0.2458, 0.6297, 0.9968], [0.7542, 0.3703, 0.0032], [0.7542, 0.6297, 0.5032], [0.7575, 0.1225, 0.5011], [0.7575, 0.8775, 0.0011]],
  "energy_ev_per_atom": -7.8604,
  "sg": "No. 13",
  "formation_energy_uncorrected_ev_per_atom": -1.677
}

=====

No. 4
{
  "formula": "Tm2PaS3",
  "functional": "PBE-GGA",
  "state": "optimized geometry",
  "lattice": [[3.7652, 0.0000, 0.0000], [-1.8826, 3.2607, 0.0000], [0.0000, 0.0000, 19.9320]],
  "species": ["Tm", "Tm", "Tm", "Tm", "Pa", "Pa", "S", "S", "S", "S", "S", "S"],
  "fractional_positions": [[0.3333, 0.6667, 0.0853], [0.3333, 0.6667, 0.4147], [0.6667, 0.3333, 0.5853], [0.6667, 0.3333, 0.9147], [0.0000, 0.0000, 0.2500], [0.0000, 0.0000, 0.7500], [0.0000, 0.0000, 0.0000], [0.0000, 0.0000, 0.5000], [0.3333, 0.6667, 0.6607], [0.3333, 0.6667, 0.8393], [0.6667, 0.3333, 0.1607], [0.6667, 0.3333, 0.3393]],
  "energy_ev_per_atom": -6.9376,
  "sg": "No. 194",
  "formation_energy_uncorrected_ev_per_atom": -1.801
}

=====

Question: Number 4 is which compound?
Answer: Tm2PaS3